Record 1
# Ag4SeCl2 (GGA-PBE, optimized geometry)
# Space-group type   P2_1/m, No. 11
# V   382.92 Å³/cell
# E_tot   -40.7 eV per cell
# Raw formation energy   -253.5 meV per atom
# Crystal system   monoclinic
# Energy relative to the lowest polymorph listed for this composition   0.0000 eV per atom
data_Ag4SeCl2
_space_group_name_H-M_alt 'P 1'
_space_group_IT_number 1
_cell_length_a 9.990
_cell_length_b 6.760
_cell_length_c 5.891
_cell_angle_alpha 90.00
_cell_angle_beta 105.73
_cell_angle_gamma 90.00
loop_
_space_group_symop_operation_xyz
'x,y,z'
loop_
_atom_site_label
_atom_site_fract_x
_atom_site_fract_y
_atom_site_fract_z
_atom_site_occupancy
Ag1 0.146 0.750 0.007 1
Ag2 0.854 0.250 0.993 1
Ag3 0.621 0.989 0.327 1
Ag4 0.861 0.250 0.503 1
Ag5 0.139 0.750 0.497 1
Cl1 0.640 0.750 0.022 1
Cl2 0.360 0.250 0.978 1
Ag6 0.379 0.489 0.673 1
Ag7 0.621 0.511 0.327 1
Cl3 0.943 0.750 0.670 1
Cl4 0.057 0.250 0.330 1
Se1 0.358 0.750 0.353 1
Ag8 0.379 0.011 0.673 1
Se2 0.642 0.250 0.647 1

---

Record 2
# Ag2SeCl (GGA-PBE, optimized geometry)
# Space-group type   R-3m, No. 166
# N(E_F)   2.8 states/eV/cell
# V   86.42 Å³/cell
# E_tot   -11.8 eV per cell
# Raw formation energy   -186.7 meV per atom
# Crystal system   trigonal
# Energy relative to the lowest polymorph listed for this composition   0.0501 eV per atom
data_Ag2SeCl
_space_group_name_H-M_alt 'P 1'
_space_group_IT_number 1
_cell_length_a 7.098
_cell_length_b 7.098
_cell_length_c 7.098
_cell_angle_alpha 31.45
_cell_angle_beta 31.45
_cell_angle_gamma 31.45
loop_
_space_group_symop_operation_xyz
'x,y,z'
loop_
_atom_site_label
_atom_site_fract_x
_atom_site_fract_y
_atom_site_fract_z
_atom_site_occupancy
Ag1 0.495 0.495 0.495 1
Cl1 0.250 0.250 0.250 1
Ag2 0.005 0.005 0.005 1
Se1 0.750 0.750 0.750 1

---

Record 3
# AgSeCl3 (GGA-PBE, optimized geometry)
# Space-group type   P-1, No. 2
# V   288.96 Å³/cell
# E_tot   -26.4 eV per cell
# Raw formation energy   -265.4 meV per atom
# Crystal system   triclinic
# Energy relative to the lowest polymorph listed for this composition   0.0000 eV per atom
data_AgSeCl3
_space_group_name_H-M_alt 'P 1'
_space_group_IT_number 1
_cell_length_a 4.331
_cell_length_b 8.830
_cell_length_c 8.535
_cell_angle_alpha 78.61
_cell_angle_beta 107.34
_cell_angle_gamma 111.21
loop_
_space_group_symop_operation_xyz
'x,y,z'
loop_
_atom_site_label
_atom_site_fract_x
_atom_site_fract_y
_atom_site_fract_z
_atom_site_occupancy
Se1 0.774 0.655 0.705 1
Cl1 0.729 0.998 0.093 1
Cl2 0.833 0.672 0.441 1
Ag1 0.135 0.234 0.598 1
Cl3 0.744 0.309 0.754 1
Ag2 0.350 0.671 0.184 1
Cl4 0.741 0.595 0.028 1
Cl5 0.652 0.232 0.342 1
Se2 0.710 0.249 0.078 1
Cl6 0.756 0.906 0.689 1